Record 1
Entry from Alexandria: a relaxed structure of Pr6SnRu2I3 (PBE).

Calculated values
DFT total energy: -64.5 eV for the cell shown
density of states at the Fermi level: 7.07 states/eV/cell
magnetic moment: 0.00 Bohr magnetons per cell

Lattice parameters (Å, degrees): 7.5026 7.5026 8.5440 98.48 98.48 120.07
Last column: nearest neighbours and their distance in Å.
Fractional coordinates of all 12 atoms:
Pr: 0.9362 0.5681 0.8065  2 Ru 2.85-2.86, 1 Sn 3.18
Pr: 0.6966 0.6966 0.1922  2 Ru 2.85, 1 Sn 3.17
Pr: 0.5681 0.9362 0.8065  2 Ru 2.85-2.86, 1 Sn 3.18
Pr: 0.3034 0.3034 0.8078  2 Ru 2.85, 1 Sn 3.17
Pr: 0.4319 0.0638 0.1935  2 Ru 2.85-2.86, 1 Sn 3.18
Pr: 0.0638 0.4319 0.1935  2 Ru 2.85-2.86, 1 Sn 3.18
I: 0.5000 0.5000 0.5000  6 Pr 3.37-3.64
I: 0.1610 0.8390 0.5000  6 Pr 3.40-3.64
I: 0.8390 0.1610 0.5000  6 Pr 3.40-3.64
Ru: 0.3330 0.6670 0.0000  6 Pr 2.85-2.86
Ru: 0.6670 0.3330 0.0000  6 Pr 2.85-2.86
Sn: 0.0000 0.0000 0.0000  6 Pr 3.17-3.18

---

Record 2
Entry from Alexandria: a relaxed structure of Pr4TeRuI2 (PBE).

Calculated values
DFT total energy: -42.0 eV for the cell shown
density of states at the Fermi level: 5.57 states/eV/cell
magnetic moment: 0.00 Bohr magnetons per cell

Lattice parameters (Å, degrees): 4.2778 8.0737 8.2943 106.14 90.00 90.00
Last column: nearest neighbours and their distance in Å.
Fractional coordinates of all 8 atoms:
I: 0.5000 0.0000 0.5000  6 Pr 3.69-3.80
I: 0.0000 0.5000 0.5000  6 Pr 3.39-3.42
Te: 0.0000 0.0000 0.0000  6 Pr 3.19-3.24
Pr: 0.5000 0.2757 0.1962  1 Ru 2.75
Pr: 0.0000 0.3010 0.8101  2 Ru 2.87
Pr: 0.5000 0.7243 0.8038  1 Ru 2.75
Pr: 0.0000 0.6990 0.1899  2 Ru 2.87
Ru: 0.5000 0.5000 0.0000  6 Pr 2.75-2.87